Entry one
The following is a DFT calculation (PBE) of TlReW2 after structural relaxation.

```
data_TlReW2
_chemical_formula_sum 'Tl4 Re4 W8'
_symmetry_space_group_name_H-M 'I -4 2 d'
_symmetry_Int_Tables_number 122
_symmetry_space_group_name_Hall 'I -4 2bw'
_cell_length_a 7.6578
_cell_length_b 7.6578
_cell_length_c 5.4470
_cell_angle_alpha 90.00
_cell_angle_beta 90.00
_cell_angle_gamma 90.00
loop_
_atom_site_label
_atom_site_fract_x
_atom_site_fract_y
_atom_site_fract_z
Tl1 0.0000 0.0000 0.0000
Re1 0.0000 0.0000 0.5000
W1 0.1899 0.2500 0.6250
```

Results
mass density: 15.77 g/cm3
Fermi-level density of states: 9.30 states/eV/cell



Entry two
The following is a DFT calculation (PBE) of TlReW2 after structural relaxation.

```
data_TlReW2
_chemical_formula_sum 'Tl4 Re4 W8'
_symmetry_space_group_name_H-M 'F m -3 m'
_symmetry_Int_Tables_number 225
_symmetry_space_group_name_Hall '-F 4 2 3'
_cell_length_a 6.5028
_cell_length_b 6.5028
_cell_length_c 6.5028
_cell_angle_alpha 90.00
_cell_angle_beta 90.00
_cell_angle_gamma 90.00
loop_
_atom_site_label
_atom_site_fract_x
_atom_site_fract_y
_atom_site_fract_z
Tl1 0.0000 0.0000 0.0000
Re1 0.0000 0.0000 0.5000
W1 0.2500 0.2500 0.2500
```

Results
mass density: 18.32 g/cm3
Fermi-level density of states: 21.48 states/eV/cell



Entry three
The following is a DFT calculation (PBE) of TlReW2 after structural relaxation.

```
data_TlReW2
_chemical_formula_sum 'Tl2 Re2 W4'
_symmetry_space_group_name_H-M 'I 4/m m m'
_symmetry_Int_Tables_number 139
_symmetry_space_group_name_Hall '-I 4 2'
_cell_length_a 4.0018
_cell_length_b 4.0018
_cell_length_c 8.4996
_cell_angle_alpha 90.00
_cell_angle_beta 90.00
_cell_angle_gamma 90.00
loop_
_atom_site_label
_atom_site_fract_x
_atom_site_fract_y
_atom_site_fract_z
Tl1 0.0000 0.0000 0.0000
Re1 0.0000 0.0000 0.5000
W1 0.0000 0.5000 0.2500
```

Results
mass density: 18.50 g/cm3
Fermi-level density of states: 9.15 states/eV/cell



Entry four
The following is a DFT calculation (PBE) of TlReW2 after structural relaxation.

```
data_TlReW2
_chemical_formula_sum 'Tl1 Re1 W2'
_symmetry_space_group_name_H-M 'P 4/m m m'
_symmetry_Int_Tables_number 123
_symmetry_space_group_name_Hall '-P 4 2'
_cell_length_a 4.5046
_cell_length_b 4.5046
_cell_length_c 3.3698
_cell_angle_alpha 90.00
_cell_angle_beta 90.00
_cell_angle_gamma 90.00
loop_
_atom_site_label
_atom_site_fract_x
_atom_site_fract_y
_atom_site_fract_z
Tl1 0.0000 0.0000 0.0000
Re1 0.5000 0.5000 0.0000
W1 0.0000 0.5000 0.5000
```

Results
mass density: 18.41 g/cm3
Fermi-level density of states: 3.64 states/eV/cell



Last place for stability: entry one



Entry one
The following is a DFT calculation (PBE) of Tl3ReW after structural relaxation.

```
data_Tl3ReW
_chemical_formula_sum 'Tl3 Re1 W1'
_symmetry_space_group_name_H-M 'P m -3 m'
_symmetry_Int_Tables_number 221
_symmetry_space_group_name_Hall '-P 4 2 3'
_cell_length_a 5.3659
_cell_length_b 5.3659
_cell_length_c 5.3659
_cell_angle_alpha 90.00
_cell_angle_beta 90.00
_cell_angle_gamma 90.00
loop_
_atom_site_label
_atom_site_fract_x
_atom_site_fract_y
_atom_site_fract_z
Tl1 0.0000 0.0000 0.5000
Re1 0.5000 0.5000 0.5000
W1 0.0000 0.0000 0.0000
```

Results
mass density: 10.57 g/cm3
Fermi-level density of states: 3.06 states/eV/cell



Entry two
The following is a DFT calculation (PBE) of Tl3ReW after structural relaxation.

```
data_Tl3ReW
_chemical_formula_sum 'Tl3 Re1 W1'
_symmetry_space_group_name_H-M 'P m -3 m'
_symmetry_Int_Tables_number 221
_symmetry_space_group_name_Hall '-P 4 2 3'
_cell_length_a 5.3005
_cell_length_b 5.3005
_cell_length_c 5.3005
_cell_angle_alpha 90.00
_cell_angle_beta 90.00
_cell_angle_gamma 90.00
loop_
_atom_site_label
_atom_site_fract_x
_atom_site_fract_y
_atom_site_fract_z
Tl1 0.0000 0.0000 0.5000
Re1 0.0000 0.0000 0.0000
W1 0.5000 0.5000 0.5000
```

Results
mass density: 10.96 g/cm3
Fermi-level density of states: 2.29 states/eV/cell



Last place for stability: entry one